Record 1
Entry from Alexandria via LeMat-Bulk: crystalline EuPaGe2 at its relaxed geometry (GGA-PBE).

abc: 3.3441 3.3441 8.2673
angles: 90.00 90.00 90.00
Space group P4/mmm (No. 123)
Asymmetric unit:
Eu (0.0000, 0.0000, 0.0000) [1 per cell]
Pa (0.0000, 0.0000, 0.5000) [1 per cell]
Ge (0.5000, 0.5000, 0.2595) [2 per cell]

Results
formation energy from the elements = -0.45 eV/atom
calculated total energy = -7.698 eV/atom

Record 2
Entry from Alexandria via LeMat-Bulk: crystalline EuPaGe2 at its relaxed geometry (GGA-PBE).

abc: 7.2132 7.2132 7.2132
angles: 90.00 90.00 90.00
Space group Fm-3m (No. 225)
Asymmetric unit:
Eu (0.0000, 0.0000, 0.0000) [4 per cell]
Pa (0.0000, 0.0000, 0.5000) [4 per cell]
Ge (0.2500, 0.2500, 0.2500) [8 per cell]

Results
formation energy from the elements = -0.32 eV/atom
calculated total energy = -7.576 eV/atom

Record 3
Entry from Alexandria via LeMat-Bulk: crystalline EuPaGe at its relaxed geometry (GGA-PBE).

abc: 4.9510 4.9510 3.5543
angles: 90.00 90.00 120.00
Space group P3m1 (No. 156)
Asymmetric unit:
Eu (0.0000, 0.0000, 0.0000) [1 per cell]
Pa (0.6667, 0.3333, 0.4114) [1 per cell]
Ge (0.3333, 0.6667, 0.6772) [1 per cell]

Results
formation energy from the elements = 0.07 eV/atom
calculated total energy = -8.055 eV/atom

These records have Fermi-level density of states values of 1.21 1.78 1.83 states/eV/atom, in the order they appear.